The following is a DFT calculation (GGA-PBE) of crystalline Pm5Nd12Pb2 at its relaxed geometry.

a = 8.656 Å, b = 12.222 Å, c = 8.562 Å
α = 124.66°, β = 90.00°, γ = 110.74°
Element x y z (fractional)
Pm (0.220, 0.440, 0.412)
Pm (0.223, 0.446, 0.984)
Pm (0.000, 0.000, 0.500)
Pm (0.777, 0.554, 0.016)
Pm (0.780, 0.560, 0.588)
Nd (0.948, 0.897, 0.075)
Nd (0.133, 0.649, 0.858)
Nd (0.515, 0.649, 0.858)
Nd (0.143, 0.757, 0.493)
Nd (0.614, 0.757, 0.493)
Nd (0.550, 0.099, 0.735)
Nd (0.450, 0.901, 0.265)
Nd (0.857, 0.243, 0.507)
Nd (0.386, 0.243, 0.507)
Nd (0.867, 0.351, 0.142)
Nd (0.485, 0.351, 0.142)
Nd (0.052, 0.103, 0.925)
Pb (0.676, 0.000, 0.000)
Pb (0.324, 0.000, 0.000)

Calculated values
* DOS(E_F): 1.479 states/eV per atom
* ΔH_f (0 K): 0.11 eV per atom